[1]
BaLiMnS3 | PBE | relaxed

abc: 6.5279 6.5945 7.0382
angles: 117.94 90.00 90.00
Each line ends with the local moment (μB).
Fractional positions:
Ba: 0.7500 0.2298 0.4597  0.01
Ba: 0.2500 0.7702 0.5403  0.01
Li: 0.2500 0.4324 0.8648  0.02
Li: 0.7500 0.5676 0.1352  0.02
Mn: 0.2500 0.0510 0.1020  3.49
Mn: 0.7500 0.9490 0.8980  3.49
S: 0.2500 0.2414 0.4828  0.07
S: 0.0000 0.2371 0.0000  -0.01
S: 0.5000 0.7629 0.0000  -0.01
S: 0.5000 0.2371 0.0000  -0.01
S: 0.0000 0.7629 0.0000  -0.01
S: 0.7500 0.7586 0.5172  0.07

Output
VASP energy = -5.48 eV per atom
Space group = No. 63

[2]
Ba2LiMn2S6 | PBE | relaxed

abc: 6.8224 6.8224 7.5636
angles: 63.19 63.19 60.00
Each line ends with the local moment (μB).
Fractional positions:
Ba: 0.7689 0.7689 0.6932  0.00
Ba: 0.2311 0.2311 0.3068  0.00
Li: 0.0000 0.0000 0.0000  0.01
Mn: 0.4488 0.4488 0.6537  0.46
Mn: 0.5512 0.5512 0.3463  0.46
S: 0.7522 0.7522 0.2592  -0.01
S: 0.2365 0.7522 0.2592  -0.01
S: 0.7522 0.2365 0.2592  -0.01
S: 0.2478 0.7635 0.7408  -0.01
S: 0.7635 0.2478 0.7408  -0.01
S: 0.2478 0.2478 0.7408  -0.01

Output
VASP energy = -5.49 eV per atom
Space group = No. 166

[3]
BaLi2MnZn | PBE | relaxed

abc: 5.0115 5.5980 5.0115
angles: 90.00 90.00 90.00
Each line ends with the local moment (μB).
Fractional positions:
Zn: 0.0000 0.5000 0.0000  0.02
Mn: 0.5000 0.5000 0.5000  -4.33
Ba: 0.0000 0.0000 0.0000  0.23
Li: 0.0000 0.0000 0.5000  0.08
Li: 0.5000 0.0000 0.0000  0.06

Output
E_form = 131 kJ per mole of atoms
Space group = No. 123

[4]
Ba2LiMo | PBE | relaxed

abc: 11.5104 11.5104 11.5104
angles: 18.62 18.62 18.62
Each line ends with the local moment (μB).
Fractional positions:
Ba: 0.0109 0.0109 0.0109  -0.03
Ba: 0.4891 0.4891 0.4891  -0.03
Li: 0.2500 0.2500 0.2500  0.00
Mo: 0.7500 0.7500 0.7500  1.47

Output
Excess energy over the best structure of this formula in the dataset = 130.9 meV/atom
E_form = 89 kJ per mole of atoms
Space group = No. 166

[5]
Ba4LiMo | PBE | relaxed

abc: 7.4243 7.4243 7.4243
angles: 60.00 60.00 60.00
Each line ends with the local moment (μB).
Fractional positions:
Ba: 0.8771 0.3743 0.3743  -0.12
Ba: 0.3743 0.3743 0.8771  -0.12
Ba: 0.3743 0.8771 0.3743  -0.12
Ba: 0.3743 0.3743 0.3743  -0.12
Li: 0.7500 0.7500 0.7500  -0.01
Mo: 0.0000 0.0000 0.0000  3.58

Output
E_form = 101 kJ per mole of atoms
Space group = No. 216

[6]
Ba2LiMo | PBE | relaxed

abc: 9.0611 9.0611 7.3255
angles: 51.80 51.80 90.00
Each line ends with the local moment (μB).
Fractional positions:
Mo: 0.0000 0.0000 0.0000  2.94
Mo: 0.7500 0.2500 0.5000  2.93
Ba: 0.6390 0.1250 0.2500  -0.05
Ba: 0.1110 0.6250 0.2500  -0.05
Ba: 0.3750 0.3610 0.7500  -0.05
Ba: 0.8750 0.8890 0.7500  -0.05
Li: 0.5000 0.5000 0.0000  -0.02
Li: 0.2500 0.7500 0.5000  -0.02

Output
Excess energy over the best structure of this formula in the dataset = 209.6 meV/atom
E_form = 97 kJ per mole of atoms
Space group = No. 122

[7]
BaLiMo | PBE | relaxed

abc: 7.9920 7.9928 3.0325
angles: 79.05 79.08 21.87
Fractional positions:
Ba: 0.0080 0.0080 0.9920
Li: 0.3077 0.3077 0.6923
Mo: 0.6843 0.6843 0.3157

Output
Excess energy over the best structure of this formula in the dataset = 0.0 meV/atom
E_form = 95 kJ per mole of atoms
Space group = No. 107

[8]
Ba2LiMo | PBE | relaxed

abc: 5.8607 5.8607 5.8607
angles: 60.00 60.00 60.00
Each line ends with the local moment (μB).
Fractional positions:
Mo: 0.5000 0.5000 0.5000  2.84
Ba: 0.2500 0.2500 0.2500  -0.02
Ba: 0.7500 0.7500 0.7500  -0.02
Li: 0.0000 0.0000 0.0000  -0.05

Output
Excess energy over the best structure of this formula in the dataset = 3.3 meV/atom
E_form = 77 kJ per mole of atoms
Space group = No. 225

[9]
Ba2LiMo | PBE | relaxed

abc: 4.6355 4.6355 10.0111
angles: 84.03 84.03 47.22
Each line ends with the local moment (μB).
Fractional positions:
Ba: 0.9842 0.9842 0.0411  0.00
Ba: 0.5158 0.5158 0.4589  0.00
Li: 0.7500 0.7500 0.7500  -0.01
Mo: 0.2500 0.2500 0.2500  2.51

Output
Excess energy over the best structure of this formula in the dataset = 140.4 meV/atom
E_form = 90 kJ per mole of atoms
Space group = No. 12

[10]
BaLiMo | PBE | relaxed

abc: 6.3520 6.3520 6.3520
angles: 151.82 142.60 47.47
Each line ends with the local moment (μB).
Fractional positions:
Ba: 0.0038 0.0038 0.0000  -0.01
Li: 0.2941 0.2941 0.0000  -0.01
Mo: 0.7021 0.7021 0.0000  0.84

Output
Excess energy over the best structure of this formula in the dataset = 66.9 meV/atom
E_form = 101 kJ per mole of atoms
Space group = No. 44

[11]
BaLiMo | PBE | relaxed

abc: 5.1449 5.1449 5.1449
angles: 60.00 60.00 60.00
Each line ends with the local moment (μB).
Fractional positions:
Ba: 0.5000 0.5000 0.5000  0.01
Li: 0.7500 0.7500 0.7500  -0.03
Mo: 0.0000 0.0000 0.0000  3.18

Output
Excess energy over the best structure of this formula in the dataset = 330.1 meV/atom
E_form = 126 kJ per mole of atoms
Space group = No. 216

[12]
Ba2LiMo | PBE | relaxed

abc: 6.9906 6.9906 6.9906
angles: 147.44 131.15 59.95
Each line ends with the local moment (μB).
Fractional positions:
Ba: 0.9642 0.9642 0.0000  -0.04
Ba: 0.2595 0.7595 0.5000  -0.03
Li: 0.5536 0.5536 0.0000  0.00
Mo: 0.7228 0.2228 0.5000  2.47

Output
Excess energy over the best structure of this formula in the dataset = 23.3 meV/atom
E_form = 79 kJ per mole of atoms
Space group = No. 44

[13]
BaLiMo3 | PBE | relaxed

abc: 4.6912 4.6912 4.6912
angles: 90.00 90.00 90.00
Each line ends with the local moment (μB).
Fractional positions:
Mo: 0.0000 0.5000 0.0000  1.29
Mo: 0.0000 0.0000 0.5000  1.36
Mo: 0.5000 0.0000 0.0000  1.31
Ba: 0.5000 0.5000 0.5000  0.18
Li: 0.0000 0.0000 0.0000  0.08

Output
Excess energy over the best structure of this formula in the dataset = 0.0 meV/atom
E_form = 177 kJ per mole of atoms
Space group = No. 221

[14]
Ba2LiMo | PBE | relaxed

abc: 6.6416 6.6416 6.6416
angles: 135.17 135.17 65.27
Each line ends with the local moment (μB).
Fractional positions:
Ba: 0.0000 0.0000 0.0000  -0.04
Ba: 0.2500 0.7500 0.5000  -0.04
Li: 0.5000 0.5000 0.0000  -0.03
Mo: 0.7500 0.2500 0.5000  3.08

Output
Excess energy over the best structure of this formula in the dataset = 119.3 meV/atom
E_form = 88 kJ per mole of atoms
Space group = No. 119

[15]
BaLiMo | PBE | relaxed

abc: 5.2302 5.2302 5.2302
angles: 60.00 60.00 60.00
Each line ends with the local moment (μB).
Fractional positions:
Ba: 0.7500 0.7500 0.7500  0.01
Li: 0.0000 0.0000 0.0000  -0.08
Mo: 0.5000 0.5000 0.5000  2.94

Output
Excess energy over the best structure of this formula in the dataset = 654.8 meV/atom
E_form = 158 kJ per mole of atoms
Space group = No. 216

[16]
BaLiMo4 | PBE | relaxed

abc: 5.5280 5.5280 5.5280
angles: 60.00 60.00 60.00
Fractional positions:
Ba: 0.7500 0.7500 0.7500
Li: 0.0000 0.0000 0.0000
Mo: 0.8769 0.3744 0.3744
Mo: 0.3744 0.3744 0.8769
Mo: 0.3744 0.8769 0.3744
Mo: 0.3744 0.3744 0.3744

Output
E_form = 88 kJ per mole of atoms
Space group = No. 216

[17]
BaLiMo | PBE | relaxed

abc: 5.2827 5.2827 2.9653
angles: 90.00 90.00 120.00
Each line ends with the local moment (μB).
Fractional positions:
Ba: 0.0000 0.0000 0.0417  -0.02
Li: 0.6667 0.3333 0.3744  -0.02
Mo: 0.3333 0.6667 0.5839  0.72

Output
Excess energy over the best structure of this formula in the dataset = 104.1 meV/atom
E_form = 105 kJ per mole of atoms
Space group = No. 156

[18]
Ba2LiMo | PBE | relaxed

abc: 5.1108 4.6171 6.7738
angles: 70.16 90.00 90.00
Each line ends with the local moment (μB).
Fractional positions:
Ba: 0.0000 0.9836 0.9085  0.00
Ba: 0.5000 0.2703 0.3334  -0.03
Li: 0.0000 0.6804 0.5130  -0.02
Mo: 0.5000 0.5657 0.7451  2.79

Output
Excess energy over the best structure of this formula in the dataset = 6.9 meV/atom
E_form = 77 kJ per mole of atoms
Space group = No. 6

[19]
Ba2LiMo | PBE | relaxed

abc: 5.7215 5.7215 5.7215
angles: 60.00 60.00 60.00
Each line ends with the local moment (μB).
Fractional positions:
Ba: 0.0000 0.0000 0.0000  0.06
Ba: 0.2500 0.2500 0.2500  -0.04
Li: 0.5000 0.5000 0.5000  -0.03
Mo: 0.7500 0.7500 0.7500  3.07

Output
Excess energy over the best structure of this formula in the dataset = 107.5 meV/atom
E_form = 87 kJ per mole of atoms
Space group = No. 216

[20]
Ba2LiMo | PBE | relaxed

abc: 6.6573 6.6573 5.8981
angles: 71.15 71.15 33.59
Each line ends with the local moment (μB).
Fractional positions:
Ba: 0.9646 0.9646 0.0675  -0.04
Ba: 0.7619 0.7619 0.7178  -0.03
Li: 0.5518 0.5518 0.4737  -0.01
Mo: 0.2217 0.2217 0.2410  2.44

Output
Excess energy over the best structure of this formula in the dataset = 21.6 meV/atom
E_form = 79 kJ per mole of atoms
Space group = No. 8

[21]
Ba2LiMo | PBE | relaxed

abc: 3.8655 3.8655 9.1043
angles: 90.00 90.00 90.00
Each line ends with the local moment (μB).
Fractional positions:
Ba: 0.0000 0.0000 0.9199  0.00
Ba: 0.5000 0.5000 0.3270  0.00
Li: 0.0000 0.0000 0.5726  0.00
Mo: 0.5000 0.5000 0.6804  2.25

Output
Excess energy over the best structure of this formula in the dataset = 0.9 meV/atom
E_form = 77 kJ per mole of atoms
Space group = No. 99

[22]
Ba2LiMo | PBE | relaxed

abc: 3.9209 3.9207 9.3709
angles: 90.00 90.00 90.00
Each line ends with the local moment (μB).
Fractional positions:
Ba: 0.0000 0.0000 0.9694  0.01
Ba: 0.0000 0.0000 0.5306  0.01
Li: 0.5000 0.5000 0.2500  -0.01
Mo: 0.5000 0.5000 0.7500  2.36

Output
Excess energy over the best structure of this formula in the dataset = 0.0 meV/atom
E_form = 77 kJ per mole of atoms
Space group = No. 123

[23]
BaLiMo3 | PBE | relaxed

abc: 5.0077 5.0077 5.0077
angles: 90.00 90.00 90.00
Each line ends with the local moment (μB).
Fractional positions:
Mo: 0.0000 0.5000 0.0000  0.33
Mo: 0.0000 0.0000 0.5000  0.44
Mo: 0.5000 0.0000 0.0000  0.33
Ba: 0.0000 0.0000 0.0000  0.01
Li: 0.5000 0.5000 0.5000  0.00

Output
Excess energy over the best structure of this formula in the dataset = 1099.4 meV/atom
E_form = 283 kJ per mole of atoms
Space group = No. 221

[24]
Ba4LiMo2N7 | PBE | relaxed

abc: 6.5524 10.4612 17.4720
angles: 62.70 90.00 90.00
Fractional positions:
Ba: 0.8556 0.3023 0.6210
Ba: 0.8556 0.6977 0.8790
Ba: 0.1444 0.6977 0.3790
Ba: 0.1444 0.3023 0.1210
Ba: 0.2809 0.2617 0.4844
Ba: 0.2809 0.7383 0.0156
Ba: 0.7191 0.7383 0.5156
Ba: 0.7191 0.2617 0.9844
Ba: 0.7722 0.1515 0.4280
Ba: 0.7722 0.8485 0.0720
Ba: 0.2278 0.8485 0.5720
Ba: 0.2278 0.1515 0.9280
Ba: 0.9780 0.5000 0.2500
Ba: 0.0220 0.5000 0.7500
Ba: 0.6821 0.0000 0.2500
Ba: 0.3179 0.0000 0.7500
Li: 0.5396 0.3660 0.7598
Li: 0.4604 0.3660 0.2598
Li: 0.4604 0.6340 0.2402
Li: 0.5396 0.6340 0.7402
Mo: 0.7749 0.9507 0.6549
Mo: 0.7749 0.0493 0.8451
Mo: 0.2251 0.0493 0.3451
Mo: 0.2251 0.9507 0.1549
Mo: 0.6713 0.5177 0.4029
Mo: 0.6713 0.4823 0.0971
Mo: 0.3287 0.4823 0.5971
Mo: 0.3287 0.5177 0.9029
N: 0.1826 0.7534 0.1952
N: 0.1826 0.2466 0.3048
N: 0.8174 0.2466 0.8048
N: 0.8174 0.7534 0.6952
N: 0.5319 0.4303 0.3475
N: 0.5319 0.5697 0.1525
N: 0.4681 0.5697 0.6525
N: 0.4681 0.4303 0.8475
N: 0.4644 0.0160 0.0918
N: 0.4644 0.9840 0.4082
N: 0.5356 0.9840 0.9082
N: 0.5356 0.0160 0.5918
N: 0.7223 0.2920 0.1724
N: 0.2777 0.2920 0.6724
N: 0.2777 0.7080 0.8276
N: 0.7223 0.7080 0.3276
N: 0.9231 0.5756 0.0649
N: 0.9231 0.4244 0.4351
N: 0.0769 0.4244 0.9351
N: 0.0769 0.5756 0.5649
N: 0.9884 0.0554 0.5835
N: 0.9884 0.9446 0.9165
N: 0.0116 0.9446 0.4165
N: 0.0116 0.0554 0.0835
N: 0.5000 0.5000 0.0000
N: 0.5000 0.5000 0.5000
N: 0.7581 0.0000 0.7500
N: 0.2419 0.0000 0.2500

Output
VASP energy = -7.21 eV per atom
Space group = No. 13